(1)
{"formula": "KMgTe2I", "functional": "SCAN", "state": "single point on PBEsol structure", "magnetic_moment_mub_per_fu": 0.00, "crystal_system": "tetragonal", "formation_energy_uncorrected_ev_per_atom": -0.623, "n_ef_per_ev_cell": 4.76, "cell": [[-3.118, -4.122, -1.750], [3.922, -1.484, -3.492], [2.378, -3.579, 4.193]], "species": ["K", "Mg", "Te", "Te", "I"], "fractional_positions": [[0.500, 0.500, 0.500], [0.000, 0.000, 0.000], [0.500, 0.000, 0.000], [0.000, 0.500, 0.000], [0.000, 0.000, 0.500]]}


(2)
{"formula": "K2MgTeI", "functional": "SCAN", "state": "single point on PBEsol structure", "magnetic_moment_mub_per_fu": 0.19, "crystal_system": "tetragonal", "formation_energy_uncorrected_ev_per_atom": -0.246, "n_ef_per_ev_cell": 1.38, "cell": [[5.342, 0.000, 0.000], [0.000, 6.642, 0.000], [0.000, 0.000, 6.642]], "species": ["K", "I", "K", "Te", "Mg"], "fractional_positions": [[0.000, 0.500, 0.000], [0.500, 0.000, 0.000], [0.000, 0.000, 0.500], [0.500, 0.500, 0.500], [0.000, 0.000, 0.000]]}


(3)
{"formula": "KMgZrI2", "functional": "SCAN", "state": "single point on PBEsol structure", "magnetic_moment_mub_per_fu": 3.55, "crystal_system": "tetragonal", "formation_energy_uncorrected_ev_per_atom": 0.525, "n_ef_per_ev_cell": 2.76, "cell": [[5.640, 0.000, 0.000], [0.000, 5.640, 0.000], [0.000, 0.000, 6.188]], "species": ["I", "Mg", "I", "K", "Zr"], "fractional_positions": [[0.000, 0.500, 0.000], [0.000, 0.000, 0.000], [0.500, 0.000, 0.000], [0.000, 0.000, 0.500], [0.500, 0.500, 0.500]]}


(4)
{"formula": "KMnI3", "functional": "SCAN", "state": "single point on PBEsol structure", "magnetic_moment_mub_per_fu": 5.00, "crystal_system": "cubic", "formation_energy_uncorrected_ev_per_atom": -1.038, "n_ef_per_ev_cell": 0.01, "cell": [[5.672, 0.000, 0.000], [0.000, 5.672, 0.000], [0.000, 0.000, 5.672]], "species": ["Mn", "I", "I", "K", "I"], "fractional_positions": [[0.000, 0.000, 0.000], [0.000, 0.500, 0.000], [0.000, 0.000, 0.500], [0.500, 0.500, 0.500], [0.500, 0.000, 0.000]]}


(5)
{"formula": "KMnIO6", "functional": "SCAN", "state": "single point on PBEsol structure", "magnetic_moment_mub_per_fu": 3.00, "crystal_system": "trigonal", "formation_energy_uncorrected_ev_per_atom": -1.311, "n_ef_per_ev_cell": 0.00, "cell": [[5.033, 0.000, 0.000], [-2.516, 4.358, 0.000], [0.000, 0.000, 6.004]], "species": ["O", "O", "I", "O", "O", "K", "Mn", "O", "O"], "fractional_positions": [[0.379, 0.999, 0.678], [0.379, 0.380, 0.322], [0.667, 0.333, 0.500], [0.620, 0.999, 0.322], [0.001, 0.380, 0.678], [0.000, 0.000, 0.000], [0.333, 0.667, 0.500], [0.620, 0.621, 0.678], [0.001, 0.621, 0.322]]}


(6)
{"formula": "KMn2IO", "functional": "SCAN", "state": "single point on PBEsol structure", "magnetic_moment_mub_per_fu": 11.99, "crystal_system": "tetragonal", "formation_energy_uncorrected_ev_per_atom": 0.758, "n_ef_per_ev_cell": 2.21, "cell": [[4.346, 0.000, 0.000], [0.000, 5.729, 0.000], [0.000, 0.000, 5.729]], "species": ["Mn", "I", "O", "Mn", "K"], "fractional_positions": [[0.000, 0.000, 0.500], [0.500, 0.500, 0.500], [0.500, 0.000, 0.000], [0.000, 0.500, 0.000], [0.000, 0.000, 0.000]]}


(7)
{"formula": "KMnSbI2", "functional": "SCAN", "state": "single point on PBEsol structure", "magnetic_moment_mub_per_fu": 2.99, "crystal_system": "tetragonal", "formation_energy_uncorrected_ev_per_atom": -0.524, "n_ef_per_ev_cell": 0.93, "cell": [[5.033, 0.000, 0.000], [0.000, 5.815, 0.000], [0.000, 0.000, 5.815]], "species": ["K", "Sb", "I", "Mn", "I"], "fractional_positions": [[0.500, 0.500, 0.500], [0.500, 0.000, 0.000], [0.000, 0.500, 0.000], [0.000, 0.000, 0.000], [0.000, 0.000, 0.500]]}


(8)
{"formula": "K2MoI", "functional": "SCAN", "state": "single point on PBEsol structure", "magnetic_moment_mub_per_fu": 5.01, "crystal_system": "cubic", "formation_energy_uncorrected_ev_per_atom": 0.462, "n_ef_per_ev_cell": 0.19, "cell": [[6.055, 0.000, 0.000], [3.027, 5.243, 0.000], [3.027, 1.748, 4.944]], "species": ["Mo", "K", "I", "K"], "fractional_positions": [[0.000, 0.000, 0.000], [0.250, 0.250, 0.250], [0.500, 0.500, 0.500], [0.750, 0.750, 0.750]]}


(9)
{"formula": "K2MoI2", "functional": "SCAN", "state": "single point on PBEsol structure", "magnetic_moment_mub_per_fu": 6.00, "crystal_system": "tetragonal", "formation_energy_uncorrected_ev_per_atom": -0.064, "cell": [[-0.831, -2.728, 5.816], [-2.998, -5.022, -2.784], [6.861, 1.221, -2.054]], "species": ["Mo", "I", "I", "K", "K"], "fractional_positions": [[0.000, 0.000, 0.000], [0.250, 0.750, 0.500], [0.750, 0.250, 0.500], [0.677, 0.677, 0.354], [0.323, 0.323, 0.646]]}


(10)
{"formula": "KSbI2N", "functional": "SCAN", "state": "single point on PBEsol structure", "magnetic_moment_mub_per_fu": 0.00, "crystal_system": "tetragonal", "formation_energy_uncorrected_ev_per_atom": 0.242, "n_ef_per_ev_cell": 2.77, "cell": [[4.109, 0.000, 0.000], [0.000, 6.139, 0.000], [0.000, 0.000, 6.139]], "species": ["I", "I", "Sb", "N", "K"], "fractional_positions": [[0.000, 0.000, 0.500], [0.000, 0.500, 0.000], [0.500, 0.000, 0.000], [0.000, 0.000, 0.000], [0.500, 0.500, 0.500]]}


(11)
{"formula": "KTeIN2", "functional": "SCAN", "state": "single point on PBEsol structure", "magnetic_moment_mub_per_fu": 2.46, "crystal_system": "tetragonal", "formation_energy_uncorrected_ev_per_atom": 1.424, "n_ef_per_ev_cell": 2.48, "cell": [[4.473, 0.000, 0.000], [0.000, 4.473, 0.000], [0.000, 0.000, 5.814]], "species": ["Te", "N", "I", "N", "K"], "fractional_positions": [[0.000, 0.000, 0.500], [0.500, 0.000, 0.000], [0.000, 0.000, 0.000], [0.000, 0.500, 0.000], [0.500, 0.500, 0.500]]}


(12)
{"formula": "KTeI2N", "functional": "SCAN", "state": "single point on PBEsol structure", "magnetic_moment_mub_per_fu": 0.00, "crystal_system": "tetragonal", "formation_energy_uncorrected_ev_per_atom": -0.078, "n_ef_per_ev_cell": 0.53, "cell": [[-2.395, 1.692, 2.768], [3.692, -2.244, 4.567], [3.457, 5.247, -0.217]], "species": ["N", "K", "I", "I", "Te"], "fractional_positions": [[0.500, 0.000, 0.000], [0.500, 0.500, 0.500], [0.000, 0.500, 0.000], [0.000, 0.000, 0.500], [0.000, 0.000, 0.000]]}


(13)
{"formula": "KYIN2", "functional": "SCAN", "state": "single point on PBEsol structure", "magnetic_moment_mub_per_fu": 3.06, "crystal_system": "tetragonal", "formation_energy_uncorrected_ev_per_atom": 1.265, "n_ef_per_ev_cell": 1.71, "cell": [[-1.564, 2.428, 3.649], [-4.280, -1.681, -0.716], [1.157, -4.402, 3.425]], "species": ["K", "Y", "N", "N", "I"], "fractional_positions": [[0.000, 0.000, 0.000], [0.500, 0.500, 0.500], [0.500, 0.000, 0.000], [0.000, 0.500, 0.000], [0.000, 0.000, 0.500]]}


(14)
{"formula": "KZnI2N", "functional": "SCAN", "state": "single point on PBEsol structure", "magnetic_moment_mub_per_fu": 4.04, "crystal_system": "tetragonal", "formation_energy_uncorrected_ev_per_atom": 0.760, "n_ef_per_ev_cell": 2.02, "cell": [[-3.888, 3.233, -0.466], [-1.434, -0.837, 6.161], [3.846, 4.848, 1.554]], "species": ["K", "N", "I", "I", "Zn"], "fractional_positions": [[0.000, 0.000, 0.000], [0.500, 0.000, 0.000], [0.000, 0.500, 0.000], [0.000, 0.000, 0.500], [0.500, 0.500, 0.500]]}


(15)
{"formula": "KNaI2", "functional": "SCAN", "state": "single point on PBEsol structure", "relative_energy_ev_per_atom": 0.000, "magnetic_moment_mub_per_fu": 0.00, "crystal_system": "tetragonal", "formation_energy_uncorrected_ev_per_atom": -1.446, "n_ef_per_ev_cell": 0.00, "cell": [[7.606, 0.125, 0.196], [-2.980, 6.999, -0.196], [-2.980, -3.129, 6.264]], "species": ["I", "I", "K", "I", "Na", "I", "K", "Na"], "fractional_positions": [[0.967, 0.592, 0.125], [0.467, 0.875, 0.842], [0.500, 0.750, 0.250], [0.533, 0.375, 0.408], [0.000, 0.500, 0.500], [0.033, 0.158, 0.625], [0.000, 0.000, 0.000], [0.500, 0.250, 0.750]]}


(16)
{"formula": "KNaI2", "functional": "SCAN", "state": "single point on PBEsol structure", "relative_energy_ev_per_atom": 0.038, "magnetic_moment_mub_per_fu": 0.00, "crystal_system": "cubic", "formation_energy_uncorrected_ev_per_atom": -1.408, "n_ef_per_ev_cell": 0.00, "cell": [[-0.010, 3.441, -4.685], [-1.926, -2.032, -5.094], [-5.033, 1.925, -2.182]], "species": ["Na", "I", "K", "I"], "fractional_positions": [[0.000, 0.000, 0.000], [0.750, 0.750, 0.750], [0.500, 0.500, 0.500], [0.250, 0.250, 0.250]]}


(17)
{"formula": "KNa2I2", "functional": "SCAN", "state": "single point on PBEsol structure", "magnetic_moment_mub_per_fu": 0.43, "crystal_system": "tetragonal", "formation_energy_uncorrected_ev_per_atom": -0.946, "n_ef_per_ev_cell": 1.80, "cell": [[5.189, 0.000, 0.000], [0.000, 5.189, 0.000], [-2.594, -2.594, 7.845]], "species": ["I", "Na", "Na", "I", "K"], "fractional_positions": [[0.632, 0.632, 0.264], [0.750, 0.250, 0.500], [0.250, 0.750, 0.500], [0.368, 0.368, 0.736], [0.000, 0.000, 0.000]]}


(18)
{"formula": "K2NaNdI6", "functional": "SCAN", "state": "single point on PBEsol structure", "magnetic_moment_mub_per_fu": 0.00, "crystal_system": "cubic", "formation_energy_uncorrected_ev_per_atom": -1.495, "n_ef_per_ev_cell": 0.00, "cell": [[8.612, 0.000, 0.000], [4.306, 7.458, 0.000], [4.306, 2.486, 7.032]], "species": ["Nd", "Na", "I", "I", "I", "K", "I", "K", "I", "I"], "fractional_positions": [[0.000, 0.000, 0.000], [0.500, 0.500, 0.500], [0.250, 0.750, 0.250], [0.750, 0.750, 0.250], [0.750, 0.250, 0.750], [0.250, 0.250, 0.250], [0.250, 0.250, 0.750], [0.750, 0.750, 0.750], [0.750, 0.250, 0.250], [0.250, 0.750, 0.750]]}


(19)
{"formula": "K2NaPrI6", "functional": "SCAN", "state": "single point on PBEsol structure", "magnetic_moment_mub_per_fu": 0.00, "crystal_system": "cubic", "formation_energy_uncorrected_ev_per_atom": -1.494, "n_ef_per_ev_cell": 0.00, "cell": [[8.641, 0.000, 0.000], [4.321, 7.484, 0.000], [4.321, 2.495, 7.056]], "species": ["I", "I", "I", "Na", "I", "K", "I", "I", "K", "Pr"], "fractional_positions": [[0.251, 0.251, 0.749], [0.749, 0.749, 0.251], [0.251, 0.749, 0.749], [0.500, 0.500, 0.500], [0.251, 0.749, 0.251], [0.750, 0.750, 0.750], [0.749, 0.251, 0.749], [0.749, 0.251, 0.251], [0.250, 0.250, 0.250], [0.000, 0.000, 0.000]]}


(20)
{"formula": "K2NaScI6", "functional": "SCAN", "state": "single point on PBEsol structure", "magnetic_moment_mub_per_fu": 0.00, "crystal_system": "cubic", "formation_energy_uncorrected_ev_per_atom": -1.425, "n_ef_per_ev_cell": 0.00, "cell": [[8.313, 0.000, 0.000], [4.156, 7.199, 0.000], [4.156, 2.400, 6.787]], "species": ["I", "I", "K", "I", "K", "I", "Na", "I", "Sc", "I"], "fractional_positions": [[0.242, 0.758, 0.758], [0.758, 0.242, 0.758], [0.750, 0.750, 0.750], [0.758, 0.242, 0.242], [0.250, 0.250, 0.250], [0.242, 0.758, 0.242], [0.500, 0.500, 0.500], [0.758, 0.758, 0.242], [0.000, 0.000, 0.000], [0.242, 0.242, 0.758]]}